# Na2HoUS4

Crystalline Na2HoUS4 at its relaxed geometry (PBE, Alexandria via LeMat-Bulk). Values from VASP.

Geometry as Quantum ESPRESSO input:
```
&SYSTEM
  ibrav = 0, nat = 8, ntyp = 4
/
ATOMIC_SPECIES
S 32.06 S.upf
Na 22.99 Na.upf
Ho 164.93 Ho.upf
U 238.03 U.upf
CELL_PARAMETERS angstrom
-2.645 -2.503 -1.573
4.737 -2.184 -4.490
0.344 -4.028 5.829
ATOMIC_POSITIONS crystal
S 0.000 0.741 0.228
S 0.500 0.755 0.771
S 0.000 0.259 0.772
S 0.500 0.245 0.229
Na 0.000 0.500 0.500
Na 0.500 0.000 0.500
Ho 0.500 0.500 0.000
U 0.000 0.000 0.000
```

Summary:
The calculation puts the mass density at 5.2 g cm⁻³. Its raw total energy is -5.953 eV/atom. The value obtained for the formation energy from raw total energies is -1.5764 eV/atom.